# AlTc3W PBE-GGA relaxed
data_AlTc3W
_cell_length_a 4.3581
_cell_length_b 4.3581
_cell_length_c 4.3581
_cell_angle_alpha 90.00
_cell_angle_beta 90.00
_cell_angle_gamma 90.00
_space_group_name_H-M_alt 'P m -3 m'
_space_group_IT_number 221
_space_group_name_Hall '-P 4 2 3'
loop_
_atom_site_label
_atom_site_fract_x
_atom_site_fract_y
_atom_site_fract_z
Al1 0.0000 0.0000 0.0000
Tc1 0.0000 0.0000 0.5000
W1 0.5000 0.5000 0.5000
# * VASP energy: -41.21 eV/cell
# * total magnetic moment: 0.0 Bohr magnetons per cell
# * E_form: 1.317 eV per atom
# * offset from the most stable computed form: 0.00 eV per formula unit



# Th2MgSn PBE-GGA relaxed
data_Th2MgSn
_cell_length_a 4.8887
_cell_length_b 4.8887
_cell_length_c 4.7051
_cell_angle_alpha 90.00
_cell_angle_beta 90.00
_cell_angle_gamma 90.00
_space_group_name_H-M_alt 'P 4/m m m'
_space_group_IT_number 123
_space_group_name_Hall '-P 4 2'
loop_
_atom_site_label
_atom_site_fract_x
_atom_site_fract_y
_atom_site_fract_z
Th1 0.0000 0.5000 0.0000
Mg1 0.0000 0.0000 0.5000
Sn1 0.5000 0.5000 0.5000
# * VASP energy: -21.51 eV/cell
# * total magnetic moment: 0.0 Bohr magnetons per cell
# * E_form: -0.269 eV per atom



# Al2HgPt PBE-GGA relaxed
data_Al2HgPt
_cell_length_a 8.8803
_cell_length_b 3.4648
_cell_length_c 4.6887
_cell_angle_alpha 90.00
_cell_angle_beta 100.38
_cell_angle_gamma 90.00
_space_group_name_H-M_alt 'C 1 m 1'
_space_group_IT_number 8
loop_
_space_group_symop_operation_xyz
'x,y,z'
'x,-y,z'
'x+1/2,y+1/2,z'
'x+1/2,-y+1/2,z'
loop_
_atom_site_label
_atom_site_fract_x
_atom_site_fract_y
_atom_site_fract_z
Al1 0.0000 0.0000 0.0000
Al2 0.2445 0.0000 0.7058
Hg1 0.2564 0.5000 0.2372
Pt1 0.0218 0.5000 0.6026
# * VASP energy: -30.20 eV/cell
# * total magnetic moment: 0.0 Bohr magnetons per cell
# * E_form: -0.318 eV per atom



# Mn7Re6 PBE-GGA relaxed
data_Mn7Re6
_cell_length_a 4.6769
_cell_length_b 4.6769
_cell_length_c 25.9425
_cell_angle_alpha 90.00
_cell_angle_beta 90.00
_cell_angle_gamma 120.00
_space_group_name_H-M_alt 'R -3 m'
_space_group_IT_number 166
_space_group_name_Hall '-R 3 2"'
loop_
_atom_site_label
_atom_site_fract_x
_atom_site_fract_y
_atom_site_fract_z
Mn1 0.0000 0.0000 0.0000
Mn2 0.0054 0.5027 0.4086
Re1 0.0000 0.0000 0.1652
Re2 0.0000 0.0000 0.3482
Re3 0.0000 0.0000 0.4516
# * VASP energy: -421.03 eV/cell
# * total magnetic moment: 1.4 Bohr magnetons per cell
# * E_form: -0.113 eV per atom



# TaB2Ru PBE-GGA relaxed
data_TaB2Ru
_cell_length_a 3.2714
_cell_length_b 3.2714
_cell_length_c 14.6325
_cell_angle_alpha 90.00
_cell_angle_beta 90.00
_cell_angle_gamma 120.00
_space_group_name_H-M_alt 'R -3 m'
_space_group_IT_number 166
_space_group_name_Hall '-R 3 2"'
loop_
_atom_site_label
_atom_site_fract_x
_atom_site_fract_y
_atom_site_fract_z
Ta1 0.0000 0.0000 0.0000
B1 0.0000 0.0000 0.2409
Ru1 0.0000 0.0000 0.5000
# * VASP energy: -106.33 eV/cell
# * total magnetic moment: 0.0 Bohr magnetons per cell
# * E_form: -0.240 eV per atom
# * offset from the most stable computed form: 0.00 eV per formula unit



# Y2ScCo2 PBE-GGA relaxed
data_Y2ScCo2
_cell_length_a 3.9481
_cell_length_b 5.7508
_cell_length_c 9.0114
_cell_angle_alpha 90.00
_cell_angle_beta 90.00
_cell_angle_gamma 90.00
_space_group_name_H-M_alt 'I m m m'
_space_group_IT_number 71
_space_group_name_Hall '-I 2 2'
loop_
_atom_site_label
_atom_site_fract_x
_atom_site_fract_y
_atom_site_fract_z
Y1 0.0000 0.0000 0.2002
Sc1 0.0000 0.5000 0.0000
Co1 0.0000 0.2946 0.5000
# * VASP energy: -69.10 eV/cell
# * total magnetic moment: 0.0 Bohr magnetons per cell
# * E_form: -0.216 eV per atom
# * offset from the most stable computed form: 0.00 eV per formula unit



# InIr2 PBE-GGA relaxed
data_InIr2
_cell_length_a 3.4611
_cell_length_b 3.4611
_cell_length_c 8.3911
_cell_angle_alpha 90.00
_cell_angle_beta 90.00
_cell_angle_gamma 90.00
_space_group_name_H-M_alt 'I 4/m m m'
_space_group_IT_number 139
_space_group_name_Hall '-I 4 2'
loop_
_atom_site_label
_atom_site_fract_x
_atom_site_fract_y
_atom_site_fract_z
In1 0.0000 0.0000 0.0000
Ir1 0.0000 0.0000 0.3292
# * VASP energy: -38.69 eV/cell
# * total magnetic moment: 0.0 Bohr magnetons per cell
# * E_form: 0.372 eV per atom



# Zr3ZnCo3 PBE-GGA relaxed
data_Zr3ZnCo3
_cell_length_a 4.0217
_cell_length_b 9.1953
_cell_length_c 12.2094
_cell_angle_alpha 90.00
_cell_angle_beta 90.00
_cell_angle_gamma 90.00
_space_group_name_H-M_alt 'C m c m'
_space_group_IT_number 63
_space_group_name_Hall '-C 2c 2'
loop_
_atom_site_label
_atom_site_fract_x
_atom_site_fract_y
_atom_site_fract_z
Zr1 0.0000 0.0176 0.2500
Zr2 0.0000 0.3016 0.1047
Zn1 0.0000 0.0000 0.0000
Co1 0.0000 0.2543 0.7500
Co2 0.0000 0.4066 0.5948
# * VASP energy: -202.55 eV/cell
# * total magnetic moment: 0.0 Bohr magnetons per cell
# * E_form: -0.343 eV per atom



# Li3MgC PBE-GGA relaxed
data_Li3MgC
_cell_length_a 4.9848
_cell_length_b 4.9848
_cell_length_c 4.9848
_cell_angle_alpha 90.00
_cell_angle_beta 90.00
_cell_angle_gamma 90.00
_space_group_name_H-M_alt 'P m -3 m'
_space_group_IT_number 221
_space_group_name_Hall '-P 4 2 3'
loop_
_atom_site_label
_atom_site_fract_x
_atom_site_fract_y
_atom_site_fract_z
Li1 0.0000 0.0000 0.5000
Mg1 0.0000 0.0000 0.0000
C1 0.5000 0.5000 0.5000
# * VASP energy: -8.29 eV/cell
# * total magnetic moment: 1.0 Bohr magnetons per cell
# * E_form: 1.653 eV per atom
# * offset from the most stable computed form: 6.20 eV per formula unit



# CaNb PBE-GGA relaxed
data_CaNb
_cell_length_a 9.4846
_cell_length_b 9.4846
_cell_length_c 9.4846
_cell_angle_alpha 90.00
_cell_angle_beta 90.00
_cell_angle_gamma 90.00
_space_group_name_H-M_alt 'I -4 3 m'
_space_group_IT_number 217
_space_group_name_Hall 'I -4 2 3'
loop_
_atom_site_label
_atom_site_fract_x
_atom_site_fract_y
_atom_site_fract_z
Ca1 0.2093 0.2093 0.2093
Nb1 0.0952 0.0952 0.9048
# * VASP energy: -76.82 eV/cell
# * total magnetic moment: 0.0 Bohr magnetons per cell
# * E_form: 1.234 eV per atom
# * offset from the most stable computed form: 1.92 eV per formula unit



# BaIn2GaRh PBE-GGA relaxed
data_BaIn2GaRh
_cell_length_a 5.2116
_cell_length_b 5.2116
_cell_length_c 4.9160
_cell_angle_alpha 90.00
_cell_angle_beta 90.00
_cell_angle_gamma 90.00
_space_group_name_H-M_alt 'P 4/m m m'
_space_group_IT_number 123
_space_group_name_Hall '-P 4 2'
loop_
_atom_site_label
_atom_site_fract_x
_atom_site_fract_y
_atom_site_fract_z
Ba1 0.0000 0.0000 0.0000
In1 0.0000 0.5000 0.5000
Ga1 0.5000 0.5000 0.0000
Rh1 0.5000 0.5000 0.5000
# * VASP energy: -19.92 eV/cell
# * total magnetic moment: 0.0 Bohr magnetons per cell
# * E_form: -0.429 eV per atom



# K12Sb3Cl5 PBE-GGA relaxed
data_K12Sb3Cl5
_cell_length_a 19.3381
_cell_length_b 19.3381
_cell_length_c 19.3381
_cell_angle_alpha 90.00
_cell_angle_beta 90.00
_cell_angle_gamma 90.00
_space_group_name_H-M_alt 'I a -3 d'
_space_group_IT_number 230
_space_group_name_Hall '-I 4bd 2c 3'
loop_
_atom_site_label
_atom_site_fract_x
_atom_site_fract_y
_atom_site_fract_z
K1 0.0211 0.0639 0.6532
Sb1 0.0000 0.2500 0.1250
Cl1 0.0000 0.0000 0.0000
Cl2 0.0000 0.2500 0.3750
# * VASP energy: -451.52 eV/cell
# * total magnetic moment: 17.4 Bohr magnetons per cell



# Nd4Er4Tm PBE-GGA relaxed
data_Nd4Er4Tm
_cell_length_a 16.9089
_cell_length_b 5.5995
_cell_length_c 6.8037
_cell_angle_alpha 90.00
_cell_angle_beta 113.49
_cell_angle_gamma 90.00
_space_group_name_H-M_alt 'C 1 2/m 1'
_space_group_IT_number 12
loop_
_space_group_symop_operation_xyz
'x,y,z'
'-x,-y,-z'
'-x,y,-z'
'x,-y,z'
'x+1/2,y+1/2,z'
'-x+1/2,-y+1/2,-z'
'-x+1/2,y+1/2,-z'
'x+1/2,-y+1/2,z'
loop_
_atom_site_label
_atom_site_fract_x
_atom_site_fract_y
_atom_site_fract_z
Nd1 0.1329 0.0000 0.4576
Nd2 0.2200 0.5000 0.7862
Er1 0.0707 0.0000 0.8719
Er2 0.1203 0.5000 0.1685
Tm1 0.0000 0.5000 0.5000
# * VASP energy: -81.65 eV/cell
# * total magnetic moment: 0.0 Bohr magnetons per cell
# * E_form: 0.108 eV per atom
# * offset from the most stable computed form: 0.78 eV per formula unit



# Ba2CoRh PBE-GGA relaxed
data_Ba2CoRh
_cell_length_a 4.5229
_cell_length_b 4.5229
_cell_length_c 10.7527
_cell_angle_alpha 90.00
_cell_angle_beta 90.00
_cell_angle_gamma 90.00
_space_group_name_H-M_alt 'I -4 m 2'
_space_group_IT_number 119
_space_group_name_Hall 'I -4 -2'
loop_
_atom_site_label
_atom_site_fract_x
_atom_site_fract_y
_atom_site_fract_z
Ba1 0.0000 0.0000 0.0000
Ba2 0.0000 0.5000 0.2500
Co1 0.0000 0.5000 0.7500
Rh1 0.0000 0.0000 0.5000
# * VASP energy: -32.10 eV/cell
# * total magnetic moment: 3.4 Bohr magnetons per cell
# * E_form: 0.564 eV per atom
# * offset from the most stable computed form: 2.33 eV per formula unit



# Li2AlSiO4 PBE-GGA relaxed
data_Li2AlSiO4
_cell_length_a 4.4785
_cell_length_b 4.5267
_cell_length_c 5.1849
_cell_angle_alpha 115.37
_cell_angle_beta 115.36
_cell_angle_gamma 90.26
_space_group_name_H-M_alt 'P 1'
_space_group_IT_number 1
loop_
_space_group_symop_operation_xyz
'x,y,z'
loop_
_atom_site_label
_atom_site_fract_x
_atom_site_fract_y
_atom_site_fract_z
Li1 0.0000 0.0000 0.0000
Li2 0.2445 0.7254 0.4862
Al1 0.7014 0.2564 0.4743
Si1 0.4708 0.4700 0.0127
O1 0.1051 0.1726 0.7125
O2 0.4097 0.8467 0.2304
O3 0.6113 0.5616 0.7875
O4 0.8284 0.3687 0.2289
# * VASP energy: -51.33 eV/cell
# * total magnetic moment: 0.0 Bohr magnetons per cell



# Na2Cu2Hg PBE-GGA relaxed
data_Na2Cu2Hg
_cell_length_a 4.2472
_cell_length_b 4.2472
_cell_length_c 12.5009
_cell_angle_alpha 90.00
_cell_angle_beta 90.00
_cell_angle_gamma 90.00
_space_group_name_H-M_alt 'I 4/m m m'
_space_group_IT_number 139
_space_group_name_Hall '-I 4 2'
loop_
_atom_site_label
_atom_site_fract_x
_atom_site_fract_y
_atom_site_fract_z
Na1 0.0000 0.5000 0.2500
Cu1 0.0000 0.0000 0.0924
Hg1 0.0000 0.0000 0.5000
# * VASP energy: -18.54 eV/cell
# * total magnetic moment: 0.0 Bohr magnetons per cell
# * E_form: 0.372 eV per atom
# * offset from the most stable computed form: 1.47 eV per formula unit



# CaTaAs2 PBE-GGA relaxed
data_CaTaAs2
_cell_length_a 6.8069
_cell_length_b 6.8069
_cell_length_c 6.8069
_cell_angle_alpha 90.00
_cell_angle_beta 90.00
_cell_angle_gamma 90.00
_space_group_name_H-M_alt 'F -4 3 m'
_space_group_IT_number 216
_space_group_name_Hall 'F -4 2 3'
loop_
_atom_site_label
_atom_site_fract_x
_atom_site_fract_y
_atom_site_fract_z
Ca1 0.0000 0.0000 0.0000
Ta1 0.2500 0.2500 0.2500
As1 0.0000 0.0000 0.5000
As2 0.2500 0.2500 0.7500
# * VASP energy: -86.03 eV/cell
# * total magnetic moment: 0.1 Bohr magnetons per cell
# * E_form: 0.411 eV per atom
# * offset from the most stable computed form: 4.58 eV per formula unit



# AgAs2Br PBE-GGA relaxed
data_AgAs2Br
_cell_length_a 2.7939
_cell_length_b 5.5262
_cell_length_c 11.5123
_cell_angle_alpha 90.00
_cell_angle_beta 90.00
_cell_angle_gamma 90.00
_space_group_name_H-M_alt 'I m m m'
_space_group_IT_number 71
_space_group_name_Hall '-I 2 2'
loop_
_atom_site_label
_atom_site_fract_x
_atom_site_fract_y
_atom_site_fract_z
Ag1 0.0000 0.0000 0.0000
As1 0.0000 0.5000 0.2882
Br1 0.0000 0.0000 0.5000
# * VASP energy: -24.85 eV/cell
# * total magnetic moment: 0.0 Bohr magnetons per cell
# * offset from the most stable computed form: 1.92 eV per formula unit



# Cs4RbPa3O12 PBE-GGA relaxed
data_Cs4RbPa3O12
_cell_length_a 9.2608
_cell_length_b 9.2608
_cell_length_c 9.2608
_cell_angle_alpha 90.00
_cell_angle_beta 90.00
_cell_angle_gamma 90.00
_space_group_name_H-M_alt 'I m -3 m'
_space_group_IT_number 229
_space_group_name_Hall '-I 4 2 3'
loop_
_atom_site_label
_atom_site_fract_x
_atom_site_fract_y
_atom_site_fract_z
Cs1 0.2500 0.2500 0.2500
Rb1 0.0000 0.0000 0.0000
Pa1 0.0000 0.0000 0.5000
O1 0.0000 0.0000 0.2902
O2 0.0000 0.2500 0.5000
# * VASP energy: -281.05 eV/cell
# * total magnetic moment: 0.0 Bohr magnetons per cell